# Mg5AlHg4 | the Alexandria database | GGA-PBE | optimized geometry
# Crystal system: tetragonal
# DFT formation energy (eV/atom): -0.16
# Density of states at the Fermi level (states/eV per atom): 0.323
# Magnetic moment (Bohr magnetons per cell): 0.00
data_Mg5AlHg4
_chemical_formula_sum 'Mg5 Al1 Hg4'
_symmetry_space_group_name_H-M 'P 4/m m m'
_symmetry_Int_Tables_number 123
_symmetry_space_group_name_Hall '-P 4 2'
_cell_length_a 3.527
_cell_length_b 3.527
_cell_length_c 16.897
_cell_angle_alpha 90.00
_cell_angle_beta 90.00
_cell_angle_gamma 90.00
loop_
_atom_site_label
_atom_site_type_symbol
_atom_site_fract_x
_atom_site_fract_y
_atom_site_fract_z
Mg1 Mg 0.000 0.000 0.000
Mg2 Mg 0.000 0.000 0.202
Mg3 Mg 0.000 0.000 0.402
Al1 Al 0.500 0.500 0.500
Hg1 Hg 0.500 0.500 0.101
Hg2 Hg 0.500 0.500 0.305